This record from Alexandria describes an optimized crystal structure of POsCS. The functional is PBE.

a = 7.3761 Å, b = 2.8576 Å, c = 7.6213 Å
α = 90.00°, β = 96.91°, γ = 90.00°
Space group Cm (No. 8)
Asymmetric unit:
P (0.0000, 0.0000, 0.0000) (multiplicity 2)
Os (0.2259, 0.5000, 0.1135) (multiplicity 2)
C (0.2650, 0.5000, 0.3670) (multiplicity 2)
S (0.2803, 0.0000, 0.5064) (multiplicity 2)

Calculated values
N(E_F), states/eV/f.u.: 2.09
Uncorrected formation energy, meV/atom: 476.1